RbPb2WO after structural relaxation, computed with PBE with a Hubbard U.

Output
magnetic moment	4.43	μB per cell
total DFT energy (no corrections)	-9.01	eV per formula unit

Lattice parameters (Å, degrees): 6.318 6.318 6.125 90.00 90.00 90.00
Fractional coordinates of all 5 atoms:
Rb 0.000 0.000 0.000
Pb 0.000 0.500 0.000
Pb 0.500 0.000 0.000
W 0.000 0.000 0.500
O 0.500 0.500 0.500